No. 1
{"formula": "PuAlAg", "functional": "GGA-PBE", "state": "optimized geometry", "crystal_system": "tetragonal", "dos_ef_per_ev_atom": 1.64, "cell": [[3.0472, 0.0000, 0.0000], [0.0000, 3.0472, 0.0000], [-1.5236, -1.5236, 6.4560]], "species": ["Al", "Ag", "Pu"], "fractional_positions": [[0.2690, 0.2690, 0.5379], [0.6364, 0.6364, 0.2729], [0.9446, 0.9446, 0.8892]]}

---

No. 2
{"formula": "Pm2In2Te5", "functional": "GGA-PBE", "state": "optimized geometry", "formation_energy_uncorrected_ev_per_atom": -0.818, "crystal_system": "orthorhombic", "dos_ef_per_ev_atom": 0.10, "cell": [[9.0396, 0.0000, 0.0000], [0.0000, 8.7986, 0.0000], [0.0000, -4.3993, 7.3542]], "species": ["Pm", "Pm", "Pm", "Pm", "In", "In", "In", "In", "Te", "Te", "Te", "Te", "Te", "Te", "Te", "Te", "Te", "Te"], "fractional_positions": [[0.6521, 0.8534, 0.0000], [0.3479, 0.1466, 0.0000], [0.1521, 0.6466, 0.0000], [0.8479, 0.3534, 0.0000], [0.0000, 0.2045, 0.4091], [0.5000, 0.7045, 0.4091], [0.0000, 0.7955, 0.5909], [0.5000, 0.2955, 0.5909], [0.0000, 0.0000, 0.0000], [0.5000, 0.5000, 0.0000], [0.8601, 0.7856, 0.2646], [0.1399, 0.4791, 0.2646], [0.3601, 0.9791, 0.2646], [0.6399, 0.2856, 0.2646], [0.1399, 0.2144, 0.7354], [0.8601, 0.5209, 0.7354], [0.6399, 0.0209, 0.7354], [0.3601, 0.7144, 0.7354]]}

---

No. 3
{"formula": "DyMgPd", "functional": "GGA-PBE", "state": "optimized geometry", "crystal_system": "tetragonal", "dos_ef_per_ev_atom": 0.42, "cell": [[-1.7337, 0.7806, -2.9082], [2.0645, -2.1348, -1.8037], [-3.5790, -3.4154, 3.2925]], "species": ["Mg", "Pd", "Dy"], "fractional_positions": [[0.3101, 0.3101, 0.6201], [0.9426, 0.9426, 0.8852], [0.5973, 0.5973, 0.1946]]}

---

No. 4
{"formula": "Si2OsPt", "functional": "GGA-PBE", "state": "optimized geometry", "formation_energy_uncorrected_ev_per_atom": 0.033, "crystal_system": "tetragonal", "dos_ef_per_ev_atom": 0.45, "cell": [[5.4188, 0.0000, 0.0000], [0.0000, 5.4188, 0.0000], [2.7094, 2.7094, 5.3290]], "species": ["Si", "Si", "Si", "Si", "Os", "Os", "Pt", "Pt"], "fractional_positions": [[0.6179, 0.1250, 0.2500], [0.1321, 0.6250, 0.2500], [0.3750, 0.3821, 0.7500], [0.8750, 0.8679, 0.7500], [0.5000, 0.5000, 0.0000], [0.2500, 0.7500, 0.5000], [0.0000, 0.0000, 0.0000], [0.7500, 0.2500, 0.5000]]}

---

No. 5
{"formula": "CrSi2Hg", "functional": "GGA-PBE", "state": "optimized geometry", "formation_energy_uncorrected_ev_per_atom": 0.338, "crystal_system": "tetragonal", "dos_ef_per_ev_atom": 0.36, "cell": [[-0.9612, 2.8782, 1.1398], [-2.2897, 0.1422, -2.2900], [-3.8137, -2.7168, 3.6446]], "species": ["Cr", "Hg", "Si", "Si"], "fractional_positions": [[0.0000, 0.0000, 0.4211], [0.5000, 0.5000, 0.7552], [0.0000, 0.0000, 0.0398], [0.5000, 0.5000, 0.2838]]}

---

No. 6
{"formula": "Tb2NdEr5", "functional": "GGA-PBE", "state": "optimized geometry", "crystal_system": "monoclinic", "dos_ef_per_ev_atom": 1.62, "polymorph_energy_ev_per_atom": 0.174, "cell": [[7.9507, -3.7328, 0.0000], [-11.6612, 11.3674, 0.0000], [0.0001, 0.0000, 11.0368]], "species": ["Tb", "Tb", "Tb", "Tb", "Nd", "Nd", "Er", "Er", "Er", "Er", "Er", "Er", "Er", "Er", "Er", "Er"], "fractional_positions": [[0.7063, 0.5829, 0.3856], [0.7063, 0.5829, 0.1144], [0.2937, 0.4171, 0.6144], [0.2937, 0.4171, 0.8856], [0.3315, 0.8399, 0.7500], [0.6685, 0.1601, 0.2500], [0.3637, 0.0391, 0.9215], [0.3637, 0.0391, 0.5785], [0.4829, 0.6817, 0.4221], [0.4829, 0.6817, 0.0779], [0.5512, 0.3151, 0.2500], [0.4488, 0.6849, 0.7500], [0.5171, 0.3183, 0.5779], [0.5171, 0.3183, 0.9221], [0.6363, 0.9609, 0.0785], [0.6363, 0.9609, 0.4215]]}

---

Record-wise raw total energy values, in eV per atom: -7.07, -4.23, -4.35, -7.00, -4.85, -4.41